[1]
BaSc2PdSe4 | PBE | relaxed

Cell lengths 4.065, 7.133, 14.018 Å; angles 90.00, 90.00, 106.56 degrees
Fractional positions:
Se1 0.738 0.476 0.900
Se2 0.738 0.476 0.600
Se3 0.262 0.524 0.400
Se4 0.452 0.904 0.750
Se5 0.000 0.000 0.500
Se6 0.548 0.096 0.250
Se7 0.262 0.524 0.100
Se8 0.000 0.000 0.000
Ba1 0.126 0.252 0.750
Ba2 0.874 0.748 0.250
Pd1 0.843 0.687 0.750
Pd2 0.157 0.313 0.250
Sc1 0.371 0.742 0.575
Sc2 0.371 0.742 0.925
Sc3 0.629 0.258 0.425
Sc4 0.629 0.258 0.075

Computed properties:
SG: Cmcm
Formation energy without anion corrections, eV/atom: -1.526

---

[2]
Li3Pm2Pd4 | PBE | relaxed

Cell lengths 5.624, 7.695, 8.059 Å; angles 90.00, 110.42, 90.00 degrees
Fractional positions:
Pd1 0.324 0.472 0.648
Pd2 0.801 0.250 0.102
Pd3 0.699 0.750 0.898
Pd4 0.824 0.028 0.648
Pd5 0.199 0.750 0.898
Pd6 0.176 0.972 0.352
Pd7 0.676 0.528 0.352
Pd8 0.301 0.250 0.102
Li1 0.000 0.000 0.000
Li2 0.968 0.250 0.436
Li3 0.468 0.250 0.436
Li4 0.032 0.750 0.564
Li5 0.532 0.750 0.564
Li6 0.500 0.500 0.000
Pm1 0.113 0.586 0.226
Pm2 0.887 0.414 0.774
Pm3 0.613 0.914 0.226
Pm4 0.387 0.086 0.774

Computed properties:
SG: Cmce

---

[3]
Cr2RuCl | PBE | relaxed

Cell lengths 2.904, 2.982, 7.095 Å; angles 89.99, 90.00, 90.00 degrees
Site moments in Bohr magnetons follow the coordinates.
Fractional positions:
Ru1 0.000 0.750 0.446  0.34
Cl1 0.500 0.749 0.760  0.01
Cr1 0.500 0.250 0.254  -1.31
Cr2 0.000 0.750 0.039  2.77

Computed properties:
SG: Pmm2
Polymorph energy (0 for the lowest one), kJ per mole of atoms: 0.00
Formation energy without anion corrections, eV/atom: 0.198

---

[4]
Ho2Al2GaRh5 | PBE | relaxed

Cell lengths 3.370, 9.918, 9.918 Å; angles 90.00, 90.00, 90.00 degrees
Fractional positions:
Rh1 0.500 0.702 0.434
Rh2 0.500 0.066 0.798
Rh3 0.500 0.000 0.500
Rh4 0.500 0.202 0.066
Rh5 0.500 0.298 0.566
Rh6 0.500 0.434 0.298
Rh7 0.500 0.500 0.000
Rh8 0.500 0.934 0.202
Rh9 0.500 0.566 0.702
Rh10 0.500 0.798 0.934
Al1 0.000 0.873 0.373
Al2 0.000 0.627 0.873
Al3 0.000 0.373 0.127
Al4 0.000 0.127 0.627
Ho1 0.000 0.673 0.173
Ho2 0.000 0.827 0.673
Ho3 0.000 0.173 0.327
Ho4 0.000 0.327 0.827
Ga1 0.000 0.500 0.500
Ga2 0.000 0.000 0.000

Computed properties:
SG: P4/mbm

---

Values for total energy, eV/atom, ordered as above
-5.741, -4.599, -7.394, -6.514